# GGA+U Li6V3P8O29, relaxed
# Calculated volume: 13.0 A^3/atom
# Total magnetization: 2.960 μB/f.u.
# Total energy: -7.019 eV per atom
data_Li6V3P8O29
_cell_length_a 9.8673
_cell_length_b 9.8673
_cell_length_c 14.1883
_cell_angle_alpha 90.00
_cell_angle_beta 90.00
_cell_angle_gamma 120.00
_symmetry_space_group_name_H-M 'P 3 c 1'
_symmetry_Int_Tables_number 158
loop_
_symmetry_equiv_pos_as_xyz
'x,y,z'
'-y,x-y,z'
'-x+y,-x,z'
'-y,-x,z+1/2'
'-x+y,y,z+1/2'
'x,x-y,z+1/2'
loop_
_atom_site_label
_atom_site_type_symbol
_atom_site_fract_x
_atom_site_fract_y
_atom_site_fract_z
Li1 Li 0.0000 0.0000 0.0000
Li2 Li 0.0055 0.4308 0.0316
Li3 Li 0.3333 0.6667 0.0600
Li4 Li 0.6667 0.3333 0.2146
V1 V 0.3371 0.1067 0.8518
P1 P 0.0000 0.0000 0.2354
P2 P 0.0086 0.4357 0.2527
P3 P 0.1134 0.3601 0.4328
P4 P 0.6667 0.3333 0.4764
O1 O 0.0000 0.0000 0.1309
O2 O 0.0008 0.4174 0.7762
O3 O 0.0687 0.4342 0.1568
O4 O 0.0743 0.3196 0.9415
O5 O 0.1266 0.4252 0.3270
O6 O 0.1348 0.4836 0.5026
O7 O 0.1574 0.0268 0.7789
O8 O 0.2480 0.0446 0.4381
O9 O 0.4522 0.1593 0.2731
O10 O 0.5185 0.1839 0.9371
O11 O 0.6667 0.3333 0.0821